Here is a relaxed structure of Ac4In2F from the Alexandria database. Energies are from PBE-GGA.

Computed properties:
Its crystal system is tetragonal. As for the formation energy (no corrections): -0.873 eV/atom. The raw total energy comes out at -29.89 eV for the cell shown.

Cell lengths 9.9195, 9.9195, 9.9195 Å; angles 149.73, 149.73, 43.34 degrees
Fractional positions:
Ac  0.0000  0.5000  0.5000
Ac  0.1852  0.1852  0.0000
Ac  0.5000  0.0000  0.5000
Ac  0.8148  0.8148  0.0000
In  0.3679  0.3679  0.0000
In  0.6321  0.6321  0.0000
F  0.0000  0.0000  0.0000